1.
A plane-wave DFT calculation with PBE was carried out for a geometry-optimized Ba3C2O7 structure.

```
Ba3C2O7
1.0
-2.411 2.862 -0.905
-3.193 -2.675 0.044
-0.049 3.484 11.156
O Ba C
7 3 2
Cartesian
0.000 0.000 0.000
-4.114 1.804 8.479
-0.590 0.769 4.006
-1.927 -0.906 2.268
-2.652 0.040 7.194
-1.539 1.867 1.816
-1.315 1.715 8.931
-3.358 0.819 3.347
-2.802 0.094 -0.430
-2.295 2.852 6.948
-2.832 0.274 8.416
-0.410 0.535 2.784
```

Results
For the uncorrected formation energy, the calculation gives -1138.1 kJ/mol of formula units. The raw total energy comes out at -5.893 eV/atom.

---

2.
A plane-wave DFT calculation with PBE was carried out for a geometry-optimized BaCO2 structure.

```
BaCO2
1.0
0.678 4.214 5.457
3.500 4.340 4.113
1.169 6.121 3.027
Ba O C
1 2 1
Cartesian
0.000 0.000 0.000
0.654 1.796 1.542
4.692 12.879 11.056
2.673 7.338 6.299
```

Results
For the uncorrected formation energy, the calculation gives 454.5 kJ/mol of formula units. The raw total energy comes out at -4.088 eV/atom.

---

3.
A plane-wave DFT calculation with PBE was carried out for a geometry-optimized BaCO3 structure.

```
BaCO3
1.0
2.755 -4.771 0.000
2.755 4.771 0.000
0.000 0.000 5.711
Ba C O
2 2 6
Cartesian
2.755 1.590 1.428
2.755 -1.590 4.284
0.000 0.000 1.428
0.000 0.000 4.284
2.755 3.465 4.284
4.378 -0.653 1.428
1.131 0.653 4.284
2.755 -3.465 1.428
1.131 -0.653 1.428
4.378 0.653 4.284
```

Results
For the uncorrected formation energy, the calculation gives -1040.8 kJ/mol of formula units. The raw total energy comes out at -7.362 eV/atom.

---

4.
A plane-wave DFT calculation with PBE was carried out for a geometry-optimized BaC3O structure.

```
BaC3O
1.0
-2.065 -0.933 -5.288
-3.656 -3.905 2.117
-3.933 4.120 0.809
C Ba O
3 1 1
Cartesian
-1.828 -1.952 1.058
-1.966 2.060 0.404
-1.032 -0.467 -2.644
0.000 0.000 0.000
-4.827 -0.359 -1.181
```

Results
Its offset from the most stable computed form is 1329 meV/atom. For the uncorrected formation energy, the calculation gives 1906.5 kJ/mol of formula units. The raw total energy comes out at -2.959 eV/atom.

---

5.
A plane-wave DFT calculation with PBE was carried out for a geometry-optimized Ba2CO structure.

```
Ba2CO
1.0
-4.247 -5.532 -0.312
3.333 -2.237 -5.711
2.452 -6.265 -0.381
Ba O C
4 2 2
Cartesian
1.145 -11.567 -5.736
2.299 -3.482 -3.694
-1.758 -5.477 -1.014
1.392 -7.542 -2.365
0.000 0.000 0.000
-1.126 -7.841 -1.852
2.664 -6.194 -4.552
-0.457 -3.885 -3.012
```

Results
Its offset from the most stable computed form is 0 meV/atom. For the uncorrected formation energy, the calculation gives -167.3 kJ/mol of formula units. The raw total energy comes out at -4.940 eV/atom.

---

6.
A plane-wave DFT calculation with PBE was carried out for a geometry-optimized BaCO3 structure.

```
BaCO3
1.0
4.185 0.000 0.000
0.000 5.476 0.000
0.000 0.000 7.304
O C Ba
6 2 2
Cartesian
0.002 1.991 4.764
4.183 1.991 2.539
2.091 4.729 1.113
2.094 4.729 6.191
0.000 3.972 3.652
2.093 1.234 0.000
0.000 2.680 3.652
2.093 5.418 0.000
0.000 3.007 0.000
2.093 0.269 3.652
```

Results
For the uncorrected formation energy, the calculation gives -1066.9 kJ/mol of formula units. The raw total energy comes out at -7.416 eV/atom.

---

7.
A plane-wave DFT calculation with PBE was carried out for a geometry-optimized BaCO3 structure.

```
BaCO3
1.0
-2.266 -0.713 4.821
-5.663 -1.694 -2.912
2.608 -8.632 -0.050
C O Ba
4 12 4
Cartesian
-0.168 -7.194 3.351
-2.289 -3.105 -0.037
-5.153 -3.845 -1.492
-3.032 -7.934 1.896
-3.321 -8.708 2.903
-2.000 -2.331 -1.044
-3.449 -6.700 1.882
0.168 -8.452 3.323
-2.951 -2.630 0.980
0.117 -6.421 2.341
-5.488 -2.587 -1.464
-2.370 -8.409 0.879
-1.872 -4.339 -0.023
-5.438 -4.618 -0.482
-0.834 -6.720 4.366
-4.487 -4.319 -2.507
-3.316 -6.493 -1.020
-2.005 -4.546 2.879
0.384 -8.520 0.419
-5.705 -2.519 1.440
```

Results
For the uncorrected formation energy, the calculation gives -1091.1 kJ/mol of formula units. The raw total energy comes out at -7.466 eV/atom.

---

8.
A plane-wave DFT calculation with PBE was carried out for a geometry-optimized BaCO4 structure.

```
BaCO4
1.0
5.457 0.000 0.000
0.000 7.161 0.000
0.000 0.000 8.816
C Ba O
4 4 16
Cartesian
1.364 2.106 4.915
4.093 5.686 8.309
1.364 1.474 0.507
4.093 5.055 3.901
4.093 1.132 2.758
4.093 2.448 7.166
1.364 4.712 1.650
1.364 6.029 6.058
2.957 5.806 3.696
1.364 2.580 3.619
2.957 4.935 8.104
5.229 5.806 3.696
0.228 2.225 0.712
4.093 6.771 7.460
4.093 4.580 5.197
2.500 2.225 0.712
0.228 1.355 5.120
4.093 3.970 3.052
1.364 0.390 1.356
1.364 1.000 8.027
1.364 3.190 5.764
2.500 1.355 5.120
5.229 4.935 8.104
4.093 6.161 0.789
```

Results
For the uncorrected formation energy, the calculation gives -858.3 kJ/mol of formula units. The raw total energy comes out at -6.646 eV/atom.

---

9.
A plane-wave DFT calculation with PBE was carried out for a geometry-optimized BaC3O structure.

```
BaC3O
1.0
-3.808 -1.508 -0.030
0.290 -0.813 4.004
-1.480 3.721 0.862
O C Ba
1 3 1
Cartesian
0.000 0.000 0.000
-0.740 1.860 0.431
-1.904 -0.754 -0.015
0.145 -0.406 2.002
-2.499 0.700 2.418
```

Results
Its offset from the most stable computed form is 0 meV/atom. For the uncorrected formation energy, the calculation gives 1265.4 kJ/mol of formula units. The raw total energy comes out at -4.288 eV/atom.

---

10.
A plane-wave DFT calculation with PBE was carried out for a geometry-optimized BaC2O structure.

```
BaC2O
1.0
3.616 0.000 0.000
0.000 3.616 0.000
1.808 1.808 9.368
O C Ba
2 4 2
Cartesian
1.808 1.808 0.000
1.808 3.616 4.684
4.520 3.616 7.026
1.808 0.904 2.342
2.712 3.616 7.026
1.808 2.712 2.342
0.000 0.000 0.000
3.616 1.808 4.684
```

Results
For the uncorrected formation energy, the calculation gives 391.1 kJ/mol of formula units. The raw total energy comes out at -5.319 eV/atom.

---

11.
A plane-wave DFT calculation with PBE was carried out for a geometry-optimized BaCO2 structure.

```
BaCO2
1.0
-2.232 -4.454 0.320
4.128 -2.194 -1.750
2.654 -3.843 3.959
C Ba O
2 2 4
Cartesian
0.948 -3.324 -0.715
3.865 -4.680 0.747
0.000 0.000 0.000
0.685 -5.810 1.782
0.102 -3.385 0.925
3.289 -5.687 2.184
2.647 -3.522 -0.018
3.063 -8.387 1.967
```

Results
For the uncorrected formation energy, the calculation gives -51.6 kJ/mol of formula units. The raw total energy comes out at -5.399 eV/atom.

---

12.
A plane-wave DFT calculation with PBE was carried out for a geometry-optimized BaCO3 structure.

```
BaCO3
1.0
-2.333 -0.423 3.734
1.256 -3.893 1.683
2.840 1.029 3.231
O Ba C
3 1 1
Cartesian
2.042 -1.813 3.674
0.542 -0.364 4.530
-0.119 -2.419 3.884
0.038 -0.070 0.185
0.826 -1.541 4.053
```

Results
For the uncorrected formation energy, the calculation gives -1080.5 kJ/mol of formula units. The raw total energy comes out at -7.444 eV/atom.

---

Copy entry 6 word for word.
A plane-wave DFT calculation with PBE was carried out for a geometry-optimized BaCO3 structure.

```
BaCO3
1.0
4.185 0.000 0.000
0.000 5.476 0.000
0.000 0.000 7.304
O C Ba
6 2 2
Cartesian
0.002 1.991 4.764
4.183 1.991 2.539
2.091 4.729 1.113
2.094 4.729 6.191
0.000 3.972 3.652
2.093 1.234 0.000
0.000 2.680 3.652
2.093 5.418 0.000
0.000 3.007 0.000
2.093 0.269 3.652
```

Results
For the uncorrected formation energy, the calculation gives -1066.9 kJ/mol of formula units. The raw total energy comes out at -7.416 eV/atom.

---

- What is the formula in the twelfth record?
  BaCO3

---

What did the second record say?
A plane-wave DFT calculation with PBE was carried out for a geometry-optimized BaCO2 structure.

```
BaCO2
1.0
0.678 4.214 5.457
3.500 4.340 4.113
1.169 6.121 3.027
Ba O C
1 2 1
Cartesian
0.000 0.000 0.000
0.654 1.796 1.542
4.692 12.879 11.056
2.673 7.338 6.299
```

Results
For the uncorrected formation energy, the calculation gives 454.5 kJ/mol of formula units. The raw total energy comes out at -4.088 eV/atom.